No. 1
The following is a PBE-GGA calculation of a relaxed NaIr2Rh crystal, from the Alexandria database.

## Properties
- VASP energy: -95.05 eV per cell
- ΔH_f (0 K): 658 meV per atom
- SG: Fm-3m

a b c (Å): 6.2265 6.2265 6.2265
angles (deg): 90.00 90.00 90.00
Element x y z (fractional)
Na (0.0000, 0.0000, 0.0000)
Na (0.0000, 0.5000, 0.5000)
Na (0.5000, 0.0000, 0.5000)
Na (0.5000, 0.5000, 0.0000)
Ir (0.2500, 0.2500, 0.2500)
Ir (0.2500, 0.2500, 0.7500)
Ir (0.2500, 0.7500, 0.2500)
Ir (0.2500, 0.7500, 0.7500)
Ir (0.7500, 0.2500, 0.2500)
Ir (0.7500, 0.2500, 0.7500)
Ir (0.7500, 0.7500, 0.2500)
Ir (0.7500, 0.7500, 0.7500)
Rh (0.0000, 0.0000, 0.5000)
Rh (0.0000, 0.5000, 0.0000)
Rh (0.5000, 0.0000, 0.0000)
Rh (0.5000, 0.5000, 0.5000)


No. 2
The following is a PBE-GGA calculation of a relaxed Na2IrRh crystal, from the Alexandria database.

## Properties
- VASP energy: -61.99 eV per cell
- ΔH_f (0 K): 838 meV per atom
- SG: I-42d

a b c (Å): 7.9954 7.9954 4.9007
angles (deg): 90.00 90.00 90.00
Element x y z (fractional)
Na (0.2462, 0.7500, 0.1250)
Na (0.2500, 0.2462, 0.8750)
Na (0.2500, 0.2538, 0.3750)
Na (0.2538, 0.7500, 0.6250)
Na (0.7462, 0.2500, 0.6250)
Na (0.7500, 0.7462, 0.3750)
Na (0.7500, 0.7538, 0.8750)
Na (0.7538, 0.2500, 0.1250)
Ir (0.0000, 0.0000, 0.5000)
Ir (0.0000, 0.5000, 0.7500)
Ir (0.5000, 0.0000, 0.2500)
Ir (0.5000, 0.5000, 0.0000)
Rh (0.0000, 0.0000, 0.0000)
Rh (0.0000, 0.5000, 0.2500)
Rh (0.5000, 0.0000, 0.7500)
Rh (0.5000, 0.5000, 0.5000)


No. 3
The following is a PBE-GGA calculation of a relaxed Na3IrRh crystal, from the Alexandria database.

## Properties
- VASP energy: -13.22 eV per cell
- ΔH_f (0 K): 1390 meV per atom
- SG: Pm-3m

a b c (Å): 5.3368 5.3368 5.3368
angles (deg): 90.00 90.00 90.00
Element x y z (fractional)
Na (0.0000, 0.0000, 0.5000)
Na (0.0000, 0.5000, 0.0000)
Na (0.5000, 0.0000, 0.0000)
Ir (0.0000, 0.0000, 0.0000)
Rh (0.5000, 0.5000, 0.5000)


No. 4
The following is a PBE-GGA calculation of a relaxed NaIr3Rh crystal, from the Alexandria database.

## Properties
- VASP energy: -23.18 eV per cell
- ΔH_f (0 K): 2414 meV per atom
- SG: Pm-3m

a b c (Å): 4.4051 4.4051 4.4051
angles (deg): 90.00 90.00 90.00
Element x y z (fractional)
Na (0.0000, 0.0000, 0.0000)
Ir (0.0000, 0.0000, 0.5000)
Ir (0.0000, 0.5000, 0.0000)
Ir (0.5000, 0.0000, 0.0000)
Rh (0.5000, 0.5000, 0.5000)


No. 5
The following is a PBE-GGA calculation of a relaxed NaIr2Rh2 crystal, from the Alexandria database.

## Properties
- VASP energy: -65.71 eV per cell
- ΔH_f (0 K): 177 meV per atom
- SG: P4/mbm

a b c (Å): 7.7473 7.7473 2.6936
angles (deg): 90.00 90.00 90.00
Element x y z (fractional)
Na (0.0000, 0.0000, 0.0000)
Na (0.5000, 0.5000, 0.0000)
Ir (0.1769, 0.3231, 0.5000)
Ir (0.3231, 0.8231, 0.5000)
Ir (0.6769, 0.1769, 0.5000)
Ir (0.8231, 0.6769, 0.5000)
Rh (0.1198, 0.6198, 0.0000)
Rh (0.3802, 0.1198, 0.0000)
Rh (0.6198, 0.8802, 0.0000)
Rh (0.8802, 0.3802, 0.0000)


No. 6
The following is a PBE-GGA calculation of a relaxed Na2IrRh crystal, from the Alexandria database.

## Properties
- VASP energy: -60.45 eV per cell
- ΔH_f (0 K): 935 meV per atom
- SG: Fm-3m

a b c (Å): 6.5043 6.5043 6.5043
angles (deg): 90.00 90.00 90.00
Element x y z (fractional)
Na (0.2500, 0.2500, 0.2500)
Na (0.2500, 0.2500, 0.7500)
Na (0.2500, 0.7500, 0.2500)
Na (0.2500, 0.7500, 0.7500)
Na (0.7500, 0.2500, 0.2500)
Na (0.7500, 0.2500, 0.7500)
Na (0.7500, 0.7500, 0.2500)
Na (0.7500, 0.7500, 0.7500)
Ir (0.0000, 0.0000, 0.0000)
Ir (0.0000, 0.5000, 0.5000)
Ir (0.5000, 0.0000, 0.5000)
Ir (0.5000, 0.5000, 0.0000)
Rh (0.0000, 0.0000, 0.5000)
Rh (0.0000, 0.5000, 0.0000)
Rh (0.5000, 0.0000, 0.0000)
Rh (0.5000, 0.5000, 0.5000)